# 1
# OsC3 (PBE-GGA, optimized geometry)
data_OsC3
_cell_length_a 7.398
_cell_length_b 10.407
_cell_length_c 2.537
_cell_angle_alpha 90.00
_cell_angle_beta 90.00
_cell_angle_gamma 90.00
_space_group_name_H-M_alt 'C m c m'
_space_group_IT_number 63
_space_group_name_Hall '-C 2c 2'
loop_
_atom_site_label
_atom_site_type_symbol
_atom_site_fract_x
_atom_site_fract_y
_atom_site_fract_z
Os1 Os 0.000 0.110 0.250
C1 C 0.000 0.499 0.750
C2 C 0.213 0.229 0.250
# Magnetic moment in μB/cell: 0.00
# Relative energy among the computed polymorphs in kJ/mol of atoms: 0.0
# Calculated formation energy in eV per atom: 0.94

***

# 2
# OsC (PBE-GGA, optimized geometry)
data_OsC
_cell_length_a 2.861
_cell_length_b 10.635
_cell_length_c 2.789
_cell_angle_alpha 90.00
_cell_angle_beta 90.00
_cell_angle_gamma 90.00
_space_group_name_H-M_alt 'C m c m'
_space_group_IT_number 63
_space_group_name_Hall '-C 2c 2'
loop_
_atom_site_label
_atom_site_type_symbol
_atom_site_fract_x
_atom_site_fract_y
_atom_site_fract_z
Os1 Os 0.000 0.115 0.250
C1 C 0.000 0.317 0.250
# Magnetic moment in μB/cell: 0.00
# Relative energy among the computed polymorphs in kJ/mol of atoms: 20.9
# Calculated formation energy in eV per atom: 0.94

***

# 3
# Os3C2 (PBE-GGA, optimized geometry)
data_Os3C2
_cell_length_a 9.075
_cell_length_b 10.735
_cell_length_c 4.715
_cell_angle_alpha 90.00
_cell_angle_beta 90.00
_cell_angle_gamma 90.00
_space_group_name_H-M_alt 'F d d 2'
_space_group_IT_number 43
_space_group_name_Hall 'F 2 -2d'
loop_
_atom_site_label
_atom_site_type_symbol
_atom_site_fract_x
_atom_site_fract_y
_atom_site_fract_z
Os1 Os 0.000 0.000 0.000
Os2 Os 0.119 0.429 0.981
C1 C 0.021 0.178 0.194
# Magnetic moment in μB/cell: 0.00
# Relative energy among the computed polymorphs in kJ/mol of atoms: 2.2
# Calculated formation energy in eV per atom: 1.03

***

# 4
# Os3C (PBE-GGA, optimized geometry)
data_Os3C
_cell_length_a 4.282
_cell_length_b 4.282
_cell_length_c 11.988
_cell_angle_alpha 90.00
_cell_angle_beta 90.00
_cell_angle_gamma 90.00
_space_group_name_H-M_alt 'I 4/m m m'
_space_group_IT_number 139
_space_group_name_Hall '-I 4 2'
loop_
_atom_site_label
_atom_site_type_symbol
_atom_site_fract_x
_atom_site_fract_y
_atom_site_fract_z
Os1 Os 0.000 0.000 0.143
Os2 Os 0.000 0.500 0.000
Os3 Os 0.000 0.500 0.250
C1 C 0.000 0.000 0.442
# Magnetic moment in μB/cell: 0.00
# Relative energy among the computed polymorphs in kJ/mol of atoms: 97.6
# Calculated formation energy in eV per atom: 1.35

***

# 5
# Os3C (PBE-GGA, optimized geometry)
data_Os3C
_cell_length_a 2.745
_cell_length_b 3.467
_cell_length_c 10.733
_cell_angle_alpha 90.00
_cell_angle_beta 90.00
_cell_angle_gamma 90.00
_space_group_name_H-M_alt 'I m m m'
_space_group_IT_number 71
_space_group_name_Hall '-I 2 2'
loop_
_atom_site_label
_atom_site_type_symbol
_atom_site_fract_x
_atom_site_fract_y
_atom_site_fract_z
Os1 Os 0.000 0.000 0.000
Os2 Os 0.000 0.000 0.317
C1 C 0.000 0.000 0.500
# Magnetic moment in μB/cell: 0.00
# Relative energy among the computed polymorphs in kJ/mol of atoms: 29.6
# Calculated formation energy in eV per atom: 0.65

***

# 6
# OsC3 (PBE-GGA, optimized geometry)
data_OsC3
_cell_length_a 2.585
_cell_length_b 4.059
_cell_length_c 6.010
_cell_angle_alpha 90.00
_cell_angle_beta 90.00
_cell_angle_gamma 90.00
_space_group_name_H-M_alt 'I m m m'
_space_group_IT_number 71
_space_group_name_Hall '-I 2 2'
loop_
_atom_site_label
_atom_site_type_symbol
_atom_site_fract_x
_atom_site_fract_y
_atom_site_fract_z
Os1 Os 0.000 0.000 0.000
C1 C 0.000 0.000 0.500
C2 C 0.000 0.500 0.185
# Magnetic moment in μB/cell: 0.00
# Relative energy among the computed polymorphs in kJ/mol of atoms: 115.0
# Calculated formation energy in eV per atom: 2.13

***

# 7
# OsC3 (PBE-GGA, optimized geometry)
data_OsC3
_cell_length_a 5.184
_cell_length_b 5.184
_cell_length_c 5.184
_cell_angle_alpha 90.00
_cell_angle_beta 90.00
_cell_angle_gamma 90.00
_space_group_name_H-M_alt 'F m -3 m'
_space_group_IT_number 225
_space_group_name_Hall '-F 4 2 3'
loop_
_atom_site_label
_atom_site_type_symbol
_atom_site_fract_x
_atom_site_fract_y
_atom_site_fract_z
Os1 Os 0.000 0.000 0.000
C1 C 0.000 0.000 0.500
C2 C 0.250 0.250 0.250
# Magnetic moment in μB/cell: 0.00
# Relative energy among the computed polymorphs in kJ/mol of atoms: 195.5
# Calculated formation energy in eV per atom: 2.96

***

# 8
# Os3C2 (PBE-GGA, optimized geometry)
data_Os3C2
_cell_length_a 2.8013
_cell_length_b 2.8013
_cell_length_c 24.5027
_cell_angle_alpha 90.00
_cell_angle_beta 90.00
_cell_angle_gamma 120.00
_space_group_name_H-M_alt 'R -3 m'
_space_group_IT_number 166
_space_group_name_Hall '-R 3 2"'
loop_
_atom_site_label
_atom_site_type_symbol
_atom_site_fract_x
_atom_site_fract_y
_atom_site_fract_z
Os1 Os 0.0000 0.0000 0.0000
Os2 Os 0.0000 0.0000 0.2146
C1 C 0.0000 0.0000 0.3961
# Magnetic moment in μB/cell: 0.00
# Relative energy among the computed polymorphs in kJ/mol of atoms: 0.0
# Calculated formation energy in eV per atom: 1.01